(1)
This record from the Alexandria database describes a relaxed Mg4Si3 crystal. The functional is PBE-GGA.

The structure in extended XYZ format:
```
14
Lattice="-4.9153 -1.1509 0.6218 3.3688 -3.9543 5.4362 -1.7637 7.9150 1.4822" Properties=species:S:1:pos:R:3 pbc="T T T"
Si -0.1896 -1.7811 4.7366
Si -2.7049 5.9043 2.9997
Si -2.9099 2.2152 1.6826
Si -0.0180 2.6968 4.4674
Si -3.9108 0.4836 3.0163
Si 1.5742 2.8593 6.3162
Mg 2.7207 -2.2644 5.4171
Mg 0.5939 -4.3328 5.6985
Mg -1.2036 0.2749 3.0765
Mg -0.7083 0.6742 6.4198
Mg -3.3878 -2.3697 2.8962
Mg -0.7741 3.9810 2.2041
Mg -3.1426 -0.6689 5.3308
Mg -2.7903 3.3831 4.4179
```

ΔE to the lowest computed polymorph (kJ per mole of atoms): 7.3
Space group: P1 (1)
Energy relative to the elements, uncorrected (eV per atom): 0.0438


(2)
This record from the Alexandria database describes a relaxed AlPtO2 crystal. The functional is PBE-GGA.

The structure in extended XYZ format:
```
8
Lattice="-0.1701 -2.1071 -2.9104 1.8594 -1.7736 1.1755 -7.2694 -1.4520 5.9220" Properties=species:S:1:pos:R:3 pbc="T T T"
O -2.6845 -2.8255 1.8455
O -4.6708 -4.1803 2.9422
O -6.7695 -3.0950 4.5022
O -4.7831 -1.7405 3.4053
Pt -0.3827 -1.2508 0.5708
Pt -1.8020 -3.2179 -0.1451
Al -4.5655 -2.5878 1.7830
Al -4.8885 -3.3330 4.5644
```

Space group: P2_1/m (11)
Energy relative to the elements, uncorrected (eV per atom): -1.8124


(3)
This record from the Alexandria database describes a relaxed CaPtAu3 crystal. The functional is PBE-GGA.

The structure in extended XYZ format:
```
10
Lattice="-3.0594 1.4731 4.3024 -4.0777 1.5871 -3.4430 -0.6111 -7.0460 1.9778" Properties=species:S:1:pos:R:3 pbc="T T T"
Au -3.1746 -3.7296 4.2562
Au -3.2490 -1.1472 3.3192
Au -4.5736 -0.2562 -1.4189
Au -4.4992 -2.8387 -0.4818
Au -2.5668 -1.0373 0.2755
Au -5.1814 -2.9486 2.5619
Ca -2.9375 -4.7580 1.2858
Ca -4.8107 0.7721 1.5515
Pt 0.0000 0.0000 0.0000
Pt -1.5297 0.7365 2.1512
```

ΔE to the lowest computed polymorph (kJ per mole of atoms): 0.0
Space group: Cmcm (63)
Formation energy from the elements (eV/atom): -0.484


(4)
This record from the Alexandria database describes a relaxed NaLa2Ru crystal. The functional is PBE-GGA.

The structure in extended XYZ format:
```
8
Lattice="8.3782 0.0000 0.0000 0.0000 8.3782 0.0000 4.1891 4.1891 3.5964" Properties=species:S:1:pos:R:3 pbc="T T T"
La 1.4400 6.2836 0.8991
La 6.9381 2.0945 0.8991
La 6.2836 5.6291 2.6973
La 10.4727 11.1272 2.6973
Na 4.1891 8.3782 1.7982
Na 4.1891 4.1891 0.0000
Ru 8.3782 4.1891 1.7982
Ru 0.0000 0.0000 0.0000
```

Space group: I-42d (122)
Formation energy from the elements (eV/atom): 0.130


(5)
This record from the Alexandria database describes a relaxed Li2GeTe2 crystal. The functional is PBE-GGA.

The structure in extended XYZ format:
```
20
Lattice="-4.6961 4.5800 2.4748 -5.4584 -4.5586 -1.9214 0.9851 -4.9897 9.0397" Properties=species:S:1:pos:R:3 pbc="T T T"
Li -7.8631 -3.8133 9.8413
Li -0.7807 -4.8600 6.0347
Li -3.7940 1.0184 0.9401
Li -5.3754 -5.9867 8.6530
Li -2.8764 -2.3593 7.3609
Li -6.2930 -2.6090 2.2322
Li -8.3887 -0.1083 3.5584
Li -1.3063 -1.1550 -0.2482
Te -3.8569 -1.8395 0.8874
Te -3.3411 0.3530 6.8888
Te -5.8283 -5.3213 2.7043
Te -3.0399 -3.6464 4.9309
Te -0.3559 -3.2402 8.3865
Te -8.8135 -1.7281 1.2066
Te -6.1295 -1.3219 4.6622
Te -5.3126 -3.1288 8.7056
Ge -5.1122 1.6612 5.2640
Ge -3.4379 -1.1915 3.7894
Ge -4.0572 -6.6295 4.3291
Ge -5.7315 -3.7768 5.8036
```

ΔE to the lowest computed polymorph (kJ per mole of atoms): 0.0
Space group: P2_1/c (14)
Energy relative to the elements, uncorrected (eV per atom): -0.5453


(6)
This record from the Alexandria database describes a relaxed AsRuI2N crystal. The functional is PBE-GGA.

The structure in extended XYZ format:
```
5
Lattice="5.5374 0.0000 0.0000 0.0000 5.5374 0.0000 0.0000 0.0000 3.7073" Properties=species:S:1:pos:R:3 pbc="T T T"
As 2.7687 2.7687 1.8537
I 0.0000 2.7687 0.0000
I 2.7687 0.0000 0.0000
Ru 0.0000 0.0000 0.0000
N 0.0000 0.0000 1.8537
```

ΔE to the lowest computed polymorph (kJ per mole of atoms): 0.0
Space group: P4/mmm (123)
Energy relative to the elements, uncorrected (eV per atom): 0.6194


Number 1: E -3.19 eV/atom, total magnetization 0.0 μB per formula unit. Number 2: E -6.74 eV/atom, total magnetization 0.0 μB per formula unit. Number 3: E -4.06 eV/atom, total magnetization 0.0 μB per formula unit. Number 4: E -4.98 eV/atom, total magnetization 0.6 μB per formula unit. Number 5: E -3.49 eV/atom, total magnetization 0.0 μB per formula unit. Number 6: E -4.45 eV/atom, total magnetization 0.0 μB per formula unit.